Model one:
First-principles (PBE-GGA) data for a relaxed AcGeIr crystal, as listed in Alexandria.

Properties
- Total magnetization: 0.0 Bohr magnetons per cell
- Density of states at the Fermi level: 2.8 states/eV/f.u.

Unit cell a=4.5084 b=4.3358 c=4.3358 alpha=120.00 beta=90.00 gamma=90.00
Sites, in units of the cell vectors:
Ac 0.6665 0.6667 0.3333
Ir 0.1669 0.3333 0.6667
Ge 0.1666 0.0000 0.0000

=====

Model two:
First-principles (PBE-GGA) data for a relaxed AcGeIr crystal, as listed in Alexandria.

Properties
- Total magnetization: 0.0 Bohr magnetons per cell
- Density of states at the Fermi level: 2.0 states/eV/f.u.

Unit cell a=6.6779 b=6.6779 c=6.6779 alpha=90.00 beta=90.00 gamma=90.00
Sites, in units of the cell vectors:
Ac 0.1481 0.1481 0.1481
Ac 0.6481 0.3519 0.8519
Ac 0.3519 0.8519 0.6481
Ac 0.8519 0.6481 0.3519
Ge 0.3427 0.6573 0.1573
Ge 0.1573 0.3427 0.6573
Ge 0.6573 0.1573 0.3427
Ge 0.8427 0.8427 0.8427
Ir 0.4264 0.4264 0.4264
Ir 0.0736 0.5736 0.9264
Ir 0.9264 0.0736 0.5736
Ir 0.5736 0.9264 0.0736

=====

Model three:
First-principles (PBE-GGA) data for a relaxed AcGeIr crystal, as listed in Alexandria.

Properties
- Total magnetization: 0.0 Bohr magnetons per cell
- Density of states at the Fermi level: 3.1 states/eV/f.u.

Unit cell a=4.7952 b=4.7952 c=4.7952 alpha=60.00 beta=60.00 gamma=60.00
Sites, in units of the cell vectors:
Ac 0.0000 0.0000 0.0000
Ir 0.2500 0.2500 0.2500
Ge 0.5000 0.5000 0.5000

=====

Short version: model two is the most stable of them.

=====

Model one:
First-principles (PBE-GGA) data for a relaxed AcGeIr2 crystal, as listed in Alexandria.

Properties
- Total magnetization: 0.0 Bohr magnetons per cell
- Density of states at the Fermi level: 2.8 states/eV/f.u.

Unit cell a=6.8393 b=5.7638 c=9.6119 alpha=90.00 beta=90.00 gamma=90.00
Sites, in units of the cell vectors:
Ac 0.0000 0.2500 0.6313
Ac 0.5000 0.7500 0.1719
Ac 0.0000 0.7500 0.3687
Ac 0.5000 0.2500 0.8281
Ge 0.5000 0.7500 0.6944
Ge 0.5000 0.2500 0.3056
Ge 0.0000 0.2500 0.2364
Ge 0.0000 0.7500 0.7636
Ir 0.0000 0.0000 0.0000
Ir 0.5000 0.5000 0.5000
Ir 0.3034 0.7500 0.9022
Ir 0.6966 0.2500 0.0978
Ir 0.6966 0.7500 0.9022
Ir 0.3034 0.2500 0.0978
Ir 0.0000 0.5000 0.0000
Ir 0.5000 0.0000 0.5000

=====

Model two:
First-principles (PBE-GGA) data for a relaxed AcGeIr2 crystal, as listed in Alexandria.

Properties
- Total magnetization: 0.0 Bohr magnetons per cell
- Density of states at the Fermi level: 2.3 states/eV/f.u.

Unit cell a=4.3035 b=4.3035 c=5.9796 alpha=68.91 beta=68.91 gamma=60.00
Sites, in units of the cell vectors:
Ac 0.0000 0.0000 0.0000
Ir 0.7957 0.7957 0.6129
Ir 0.2043 0.2043 0.3871
Ge 0.5000 0.5000 0.5000

=====

Model three:
First-principles (PBE-GGA) data for a relaxed AcGeIr2 crystal, as listed in Alexandria.

Properties
- Total magnetization: 0.0 Bohr magnetons per cell
- Density of states at the Fermi level: 3.7 states/eV/f.u.

Unit cell a=4.2961 b=4.8314 c=4.8314 alpha=108.60 beta=90.00 gamma=90.00
Sites, in units of the cell vectors:
Ac 0.0000 0.0000 0.0000
Ge 0.5000 0.5000 0.5000
Ir 0.5000 0.5000 0.0000
Ir 0.5000 0.0000 0.5000

=====

Short version: model two is the most stable of them.

=====

Model one:
First-principles (PBE-GGA) data for a relaxed Ac7Ge2Ir2 crystal, as listed in Alexandria.

Properties
- Total magnetization: 0.0 Bohr magnetons per cell
- Density of states at the Fermi level: 9.4 states/eV/f.u.

Unit cell a=4.4842 b=9.8015 c=9.8015 alpha=61.29 beta=76.78 gamma=76.78
Sites, in units of the cell vectors:
Ac 0.8139 0.0710 0.3011
Ac 0.8795 0.3988 0.8422
Ac 0.5000 0.9941 0.0059
Ac 0.6070 0.5029 0.2830
Ac 0.3930 0.7170 0.4971
Ac 0.1861 0.6989 0.9290
Ac 0.1205 0.1578 0.6012
Ge 0.7388 0.8505 0.6719
Ge 0.2612 0.3281 0.1495
Ir 0.0000 0.7924 0.2076
Ir 0.5000 0.3421 0.6579

=====

Model two:
First-principles (PBE-GGA) data for a relaxed Ac7Ge2Ir2 crystal, as listed in Alexandria.

Properties
- Total magnetization: 0.0 Bohr magnetons per cell
- Density of states at the Fermi level: 5.6 states/eV/f.u.

Unit cell a=7.3658 b=7.5955 c=7.3658 alpha=90.01 beta=101.26 gamma=89.99
Sites, in units of the cell vectors:
Ac 0.0000 0.2551 0.5000
Ac 0.5000 0.7449 0.0000
Ac 0.0000 0.7449 0.5000
Ac 0.5000 0.2551 0.0000
Ac 0.0000 0.0000 0.0000
Ac 0.5000 0.7694 0.5000
Ac 0.5000 0.2306 0.5000
Ge 0.7641 0.5000 0.7641
Ge 0.2359 0.5000 0.2359
Ir 0.7313 0.0000 0.2687
Ir 0.2687 0.0000 0.7313

=====

Short version: model one is the most stable of them.

=====

Model one:
First-principles (PBE-GGA) data for a relaxed AcGe3Ir crystal, as listed in Alexandria.

Properties
- Total magnetization: 0.0 Bohr magnetons per cell
- Density of states at the Fermi level: 1.6 states/eV/f.u.

Unit cell a=4.5436 b=4.5436 c=6.0421 alpha=112.09 beta=112.09 gamma=90.00
Sites, in units of the cell vectors:
Ac 0.0002 0.0002 0.0004
Ge 0.2590 0.7590 0.5180
Ge 0.7590 0.2590 0.5180
Ge 0.4160 0.4160 0.8320
Ir 0.6560 0.6560 0.3120

=====

Model two:
First-principles (PBE-GGA) data for a relaxed AcGe3Ir crystal, as listed in Alexandria.

Properties
- Total magnetization: 0.0 Bohr magnetons per cell
- Density of states at the Fermi level: 2.7 states/eV/f.u.

Unit cell a=4.6667 b=6.2135 c=8.1700 alpha=90.00 beta=106.59 gamma=90.00
Sites, in units of the cell vectors:
Ac 0.9149 0.7500 0.8298
Ac 0.0851 0.2500 0.1702
Ge 0.7111 0.0137 0.4222
Ge 0.2889 0.9863 0.5778
Ge 0.2889 0.5137 0.5778
Ge 0.7111 0.4863 0.4222
Ge 0.1187 0.7500 0.2375
Ge 0.8813 0.2500 0.7625
Ir 0.5860 0.7500 0.1720
Ir 0.4140 0.2500 0.8280

=====

Short version: model one is the most stable of them.

=====

Model one:
First-principles (PBE-GGA) data for a relaxed Ac3Ge3Ir2 crystal, as listed in Alexandria.

Properties
- Total magnetization: 0.0 Bohr magnetons per cell
- Density of states at the Fermi level: 4.9 states/eV/f.u.

Unit cell a=4.3853 b=6.2938 c=15.5345 alpha=90.00 beta=90.00 gamma=110.39
Sites, in units of the cell vectors:
Ac 0.9277 0.8554 0.3946
Ac 0.0723 0.1446 0.8946
Ac 0.9277 0.8554 0.1054
Ac 0.0723 0.1446 0.6054
Ac 0.6486 0.2971 0.2500
Ac 0.3514 0.7029 0.7500
Ge 0.6578 0.3156 0.4631
Ge 0.3422 0.6844 0.9631
Ge 0.6578 0.3156 0.0369
Ge 0.3422 0.6844 0.5369
Ge 0.3478 0.6956 0.2500
Ge 0.6522 0.3044 0.7500
Ir 0.7809 0.5618 0.8936
Ir 0.2191 0.4382 0.3936
Ir 0.7809 0.5618 0.6064
Ir 0.2191 0.4382 0.1064

=====

Model two:
First-principles (PBE-GGA) data for a relaxed Ac3Ge3Ir2 crystal, as listed in Alexandria.

Properties
- Total magnetization: 0.0 Bohr magnetons per cell
- Density of states at the Fermi level: 4.6 states/eV/f.u.

Unit cell a=4.3323 b=6.2341 c=16.2789 alpha=90.00 beta=90.00 gamma=110.33
Sites, in units of the cell vectors:
Ac 0.8488 0.6977 0.4072
Ac 0.1512 0.3023 0.9072
Ac 0.8488 0.6977 0.0928
Ac 0.1512 0.3023 0.5928
Ac 0.5686 0.1371 0.2500
Ac 0.4314 0.8629 0.7500
Ge 0.5746 0.1492 0.4453
Ge 0.4254 0.8508 0.9453
Ge 0.5746 0.1492 0.0547
Ge 0.4254 0.8508 0.5547
Ge 0.2786 0.5572 0.2500
Ge 0.7214 0.4428 0.7500
Ir 0.8555 0.7110 0.8796
Ir 0.1445 0.2890 0.3796
Ir 0.8555 0.7110 0.6204
Ir 0.1445 0.2890 0.1204

=====

Short version: model two is the most stable of them.

=====

Model one:
First-principles (PBE-GGA) data for a relaxed Ac3Ge2Ir2 crystal, as listed in Alexandria.

Properties
- Total magnetization: 0.0 Bohr magnetons per cell
- Density of states at the Fermi level: 6.8 states/eV/f.u.

Unit cell a=4.5388 b=4.4565 c=9.9694 alpha=102.92 beta=103.16 gamma=90.00
Sites, in units of the cell vectors:
Ac 0.0000 0.0000 0.0000
Ac 0.6788 0.1788 0.3577
Ac 0.3212 0.8212 0.6423
Ge 0.1336 0.6336 0.2672
Ge 0.8664 0.3664 0.7328
Ir 0.5720 0.5720 0.1441
Ir 0.4280 0.4280 0.8559

=====

Model two:
First-principles (PBE-GGA) data for a relaxed Ac3Ge2Ir2 crystal, as listed in Alexandria.

Properties
- Total magnetization: 0.0 Bohr magnetons per cell
- Density of states at the Fermi level: 4.6 states/eV/f.u.

Unit cell a=4.5302 b=4.3132 c=9.9940 alpha=102.46 beta=103.10 gamma=90.00
Sites, in units of the cell vectors:
Ac 0.0000 0.0000 0.0000
Ac 0.1861 0.6861 0.3722
Ac 0.8139 0.3139 0.6278
Ge 0.5682 0.5682 0.1364
Ge 0.4318 0.4318 0.8636
Ir 0.6394 0.1394 0.2788
Ir 0.3606 0.8606 0.7212

=====

Short version: model two is the most stable of them.

=====

Model one:
First-principles (PBE-GGA) data for a relaxed Ac2Ge2Ir3 crystal, as listed in Alexandria.

Properties
- Total magnetization: 0.0 Bohr magnetons per cell
- Density of states at the Fermi level: 2.6 states/eV/f.u.

Unit cell a=5.6055 b=4.3749 c=8.2267 alpha=90.00 beta=67.19 gamma=90.00
Sites, in units of the cell vectors:
Ac 0.3640 0.5000 0.7729
Ac 0.6360 0.5000 0.2271
Ge 0.1079 0.0000 0.2567
Ge 0.8921 0.0000 0.7433
Ir 0.2924 0.0000 0.4772
Ir 0.0000 0.0000 0.0000
Ir 0.7076 0.0000 0.5228

=====

Model two:
First-principles (PBE-GGA) data for a relaxed Ac2Ge2Ir3 crystal, as listed in Alexandria.

Properties
- Total magnetization: 0.0 Bohr magnetons per cell
- Density of states at the Fermi level: 3.4 states/eV/f.u.

Unit cell a=4.3535 b=7.3811 c=9.8368 alpha=90.00 beta=102.78 gamma=90.00
Sites, in units of the cell vectors:
Ac 0.1596 0.2500 0.3192
Ac 0.8404 0.7500 0.6808
Ac 0.9463 0.2500 0.8926
Ac 0.0537 0.7500 0.1074
Ge 0.6838 0.9358 0.3675
Ge 0.3162 0.0642 0.6325
Ge 0.3162 0.4359 0.6325
Ge 0.6838 0.5641 0.3675
Ir 0.2136 0.7500 0.4271
Ir 0.7864 0.2500 0.5729
Ir 0.5614 0.4322 0.1228
Ir 0.4386 0.5678 0.8772
Ir 0.4386 0.9322 0.8772
Ir 0.5614 0.0678 0.1228

=====

Short version: model two is the most stable of them.

=====

Model one:
First-principles (PBE-GGA) data for a relaxed Ac3GeIr3 crystal, as listed in Alexandria.

Properties
- Total magnetization: 0.0 Bohr magnetons per cell
- Density of states at the Fermi level: 3.6 states/eV/f.u.

Unit cell a=4.3121 b=6.1452 c=14.5923 alpha=85.64 beta=81.50 gamma=69.46
Sites, in units of the cell vectors:
Ac 0.5205 0.3411 0.6180
Ac 0.4795 0.6589 0.3820
Ac 0.2624 0.2568 0.2185
Ac 0.7376 0.7432 0.7815
Ac 0.3962 0.2828 0.9247
Ac 0.6038 0.7172 0.0753
Ge 0.7649 0.0846 0.3857
Ge 0.2351 0.9154 0.6143
Ir 0.8082 0.8443 0.5392
Ir 0.1918 0.1557 0.4608
Ir 0.1190 0.8373 0.9247
Ir 0.8810 0.1627 0.0753
Ir 0.9623 0.8381 0.2373
Ir 0.0377 0.1619 0.7627

=====

Model two:
First-principles (PBE-GGA) data for a relaxed Ac3GeIr3 crystal, as listed in Alexandria.

Properties
- Total magnetization: 0.0 Bohr magnetons per cell
- Density of states at the Fermi level: 4.3 states/eV/f.u.

Unit cell a=6.0283 b=8.9631 c=8.9631 alpha=120.00 beta=90.00 gamma=90.00
Sites, in units of the cell vectors:
Ac 0.7500 0.7027 0.6431
Ac 0.7500 0.3569 0.0596
Ac 0.7500 0.9404 0.2973
Ac 0.2500 0.2973 0.3569
Ac 0.2500 0.6431 0.9404
Ac 0.2500 0.0596 0.7027
Ge 0.2500 0.6667 0.3333
Ge 0.7500 0.3333 0.6667
Ir 0.2500 0.6859 0.6114
Ir 0.2500 0.3886 0.0745
Ir 0.2500 0.9255 0.3141
Ir 0.7500 0.3141 0.3886
Ir 0.7500 0.6114 0.9255
Ir 0.7500 0.0745 0.6859

=====

Short version: model one is the most stable of them.

=====

Model one:
First-principles (PBE-GGA) data for a relaxed Ac3GeIr crystal, as listed in Alexandria.

Properties
- Total magnetization: 0.0 Bohr magnetons per cell
- Density of states at the Fermi level: 3.7 states/eV/f.u.

Unit cell a=7.2565 b=10.6294 c=9.3981 alpha=109.27 beta=90.00 gamma=90.00
Sites, in units of the cell vectors:
Ac 0.0600 0.6345 0.8741
Ac 0.9400 0.3655 0.1259
Ac 0.5600 0.8655 0.1259
Ac 0.4400 0.1345 0.8741
Ac 0.5665 0.4721 0.7963
Ac 0.4335 0.5279 0.2037
Ac 0.0665 0.0279 0.2037
Ac 0.9335 0.9721 0.7963
Ac 0.0407 0.2598 0.6184
Ac 0.9593 0.7402 0.3816
Ac 0.5407 0.2402 0.3816
Ac 0.4593 0.7598 0.6184
Ge 0.8195 0.5107 0.5247
Ge 0.1805 0.4893 0.4753
Ge 0.3195 0.9893 0.4753
Ge 0.6805 0.0107 0.5247
Ir 0.2358 0.3871 0.9138
Ir 0.7642 0.6129 0.0862
Ir 0.7358 0.1129 0.0862
Ir 0.2642 0.8871 0.9138

=====

Model two:
First-principles (PBE-GGA) data for a relaxed Ac3GeIr crystal, as listed in Alexandria.

Properties
- Total magnetization: 0.0 Bohr magnetons per cell
- Density of states at the Fermi level: 3.8 states/eV/f.u.

Unit cell a=4.4946 b=8.7260 c=16.7911 alpha=90.00 beta=90.00 gamma=90.00
Sites, in units of the cell vectors:
Ac 0.2500 0.3589 0.5555
Ac 0.7500 0.8404 0.2107
Ac 0.7500 0.4849 0.8995
Ac 0.7500 0.9849 0.6005
Ac 0.7500 0.6411 0.4445
Ac 0.2500 0.0151 0.3995
Ac 0.2500 0.8589 0.9445
Ac 0.7500 0.3404 0.2893
Ac 0.2500 0.6596 0.7107
Ac 0.2500 0.1596 0.7893
Ac 0.7500 0.1411 0.0555
Ac 0.2500 0.5151 0.1005
Ge 0.7500 0.8692 0.7956
Ge 0.2500 0.1308 0.2044
Ge 0.7500 0.3692 0.7044
Ge 0.2500 0.6308 0.2956
Ir 0.2500 0.2749 0.9576
Ir 0.2500 0.7749 0.5424
Ir 0.7500 0.2251 0.4576
Ir 0.7500 0.7251 0.0424

=====

Model three:
First-principles (PBE-GGA) data for a relaxed Ac3GeIr crystal, as listed in Alexandria.

Properties
- Total magnetization: 0.0 Bohr magnetons per cell
- Density of states at the Fermi level: 3.2 states/eV/f.u.

Unit cell a=5.7543 b=5.7543 c=5.7543 alpha=90.00 beta=90.00 gamma=90.00
Sites, in units of the cell vectors:
Ac 0.0000 0.5000 0.0000
Ac 0.0000 0.0000 0.5000
Ac 0.5000 0.0000 0.0000
Ir 0.0000 0.0000 0.0000
Ge 0.5000 0.5000 0.5000

=====

Short version: model two is the most stable of them.